Density functional theory data (PBE-GGA) for crystalline LiLuF2 at its relaxed geometry.

Values from the calculation:
Total energy (eV per atom): -4.877
Formation energy (no corrections) (meV/atom): -2333

a b c (Å): 7.682 7.682 7.682
angles (deg): 126.99 126.99 78.26
Element x y z (fractional)
Lu1 0.875 0.625 0.250
F1 0.514 0.818 0.696
Li1 0.875 0.625 0.750
F2 0.629 0.432 0.196
Lu2 0.375 0.625 0.750
Li2 0.875 0.125 0.250
Lu3 0.375 0.625 0.250
F3 0.568 0.371 0.804
Li3 0.375 0.125 0.250
F4 0.568 0.764 0.196
F5 0.121 0.818 0.304
F6 0.236 0.432 0.804
Li4 0.875 0.125 0.750
Lu4 0.375 0.125 0.750
F7 0.182 0.486 0.304
F8 0.182 0.879 0.696